(1)
# Np2Re2N7 PBE relaxed
data_Np2Re2N7
_chemical_formula_sum 'Np2 Re2 N7'
_space_group_name_H-M_alt 'P 1'
_space_group_IT_number 1
_cell_length_a 5.0774
_cell_length_b 5.0774
_cell_length_c 4.9595
_cell_angle_alpha 90.00
_cell_angle_beta 90.00
_cell_angle_gamma 90.59
loop_
_space_group_symop_operation_xyz
'x,y,z'
loop_
_atom_site_label
_atom_site_fract_x
_atom_site_fract_y
_atom_site_fract_z
Np1 0.2471 0.2471 0.0000
Np2 0.7529 0.7529 0.0000
Re1 0.2686 0.7314 0.5000
Re2 0.7314 0.2686 0.5000
N1 0.0000 0.0000 0.5000
N2 0.0000 0.5000 0.2564
N3 0.0000 0.5000 0.7436
N4 0.5000 0.0000 0.2564
N5 0.5000 0.0000 0.7436
N6 0.5000 0.5000 0.2576
N7 0.5000 0.5000 0.7424
# Crystal system: orthorhombic
# Total magnetic moment, μB/cell: 3.360
# Space group: Cmmm (65)
# Uncorrected energy, eV/atom: -10.092

(2)
# NpReN4 PBE relaxed
data_NpReN4
_chemical_formula_sum 'Np2 Re2 N8'
_space_group_name_H-M_alt 'P 1'
_space_group_IT_number 1
_cell_length_a 5.1724
_cell_length_b 4.9341
_cell_length_c 6.0263
_cell_angle_alpha 90.00
_cell_angle_beta 90.00
_cell_angle_gamma 90.00
loop_
_space_group_symop_operation_xyz
'x,y,z'
loop_
_atom_site_label
_atom_site_fract_x
_atom_site_fract_y
_atom_site_fract_z
Np1 0.0000 0.0000 0.0000
Np2 0.0000 0.5000 0.5000
Re1 0.5000 0.0000 0.3571
Re2 0.5000 0.5000 0.8571
N1 0.1919 0.2055 0.2729
N2 0.1919 0.2945 0.7729
N3 0.3463 0.7445 0.0453
N4 0.3463 0.7555 0.5453
N5 0.6537 0.2445 0.5453
N6 0.6537 0.2555 0.0453
N7 0.8081 0.7055 0.7729
N8 0.8081 0.7945 0.2729
# Crystal system: orthorhombic
# Total magnetic moment, μB/cell: 4.030
# Space group: Pnc2 (30)
# Uncorrected energy, eV/atom: -9.984

(3)
# Np3Re5N12 PBE relaxed
data_Np3Re5N12
_chemical_formula_sum 'Np12 Re20 N48'
_space_group_name_H-M_alt 'P 1'
_space_group_IT_number 1
_cell_length_a 11.0074
_cell_length_b 11.0074
_cell_length_c 11.0074
_cell_angle_alpha 109.47
_cell_angle_beta 109.47
_cell_angle_gamma 109.47
loop_
_space_group_symop_operation_xyz
'x,y,z'
loop_
_atom_site_label
_atom_site_fract_x
_atom_site_fract_y
_atom_site_fract_z
Np1 0.1250 0.2500 0.3750
Np2 0.1250 0.3750 0.7500
Np3 0.2500 0.3750 0.1250
Np4 0.2500 0.8750 0.6250
Np5 0.3750 0.1250 0.2500
Np6 0.3750 0.7500 0.1250
Np7 0.6250 0.2500 0.8750
Np8 0.6250 0.8750 0.7500
Np9 0.7500 0.1250 0.3750
Np10 0.7500 0.6250 0.8750
Np11 0.8750 0.6250 0.2500
Np12 0.8750 0.7500 0.6250
Re1 0.0000 0.0000 0.0000
Re2 0.0000 0.0000 0.5000
Re3 0.0000 0.5000 0.0000
Re4 0.0000 0.5000 0.5000
Re5 0.1250 0.7500 0.8750
Re6 0.1250 0.8750 0.2500
Re7 0.2500 0.1250 0.8750
Re8 0.2500 0.6250 0.3750
Re9 0.3750 0.2500 0.6250
Re10 0.3750 0.6250 0.7500
Re11 0.5000 0.0000 0.0000
Re12 0.5000 0.0000 0.5000
Re13 0.5000 0.5000 0.0000
Re14 0.5000 0.5000 0.5000
Re15 0.6250 0.3750 0.2500
Re16 0.6250 0.7500 0.3750
Re17 0.7500 0.3750 0.6250
Re18 0.7500 0.8750 0.1250
Re19 0.8750 0.1250 0.7500
Re20 0.8750 0.2500 0.1250
N1 0.0204 0.2008 0.1196
N2 0.0204 0.3196 0.9008
N3 0.0812 0.7008 0.6804
N4 0.0812 0.8804 0.4008
N5 0.0992 0.6196 0.4188
N6 0.0992 0.9796 0.6804
N7 0.1196 0.0204 0.2008
N8 0.1196 0.5992 0.9188
N9 0.1804 0.2008 0.5812
N10 0.1804 0.4796 0.5992
N11 0.2008 0.1196 0.0204
N12 0.2008 0.5812 0.1804
N13 0.2992 0.3196 0.9188
N14 0.2992 0.4796 0.3804
N15 0.3196 0.9008 0.0204
N16 0.3196 0.9188 0.2992
N17 0.3804 0.2992 0.4796
N18 0.3804 0.5812 0.9008
N19 0.4008 0.0812 0.8804
N20 0.4008 0.8196 0.5204
N21 0.4188 0.0992 0.6196
N22 0.4188 0.8196 0.7992
N23 0.4796 0.3804 0.2992
N24 0.4796 0.5992 0.1804
N25 0.5204 0.4008 0.8196
N26 0.5204 0.6196 0.7008
N27 0.5812 0.1804 0.2008
N28 0.5812 0.9008 0.3804
N29 0.5992 0.1804 0.4796
N30 0.5992 0.9188 0.1196
N31 0.6196 0.4188 0.0992
N32 0.6196 0.7008 0.5204
N33 0.6804 0.0812 0.7008
N34 0.6804 0.0992 0.9796
N35 0.7008 0.5204 0.6196
N36 0.7008 0.6804 0.0812
N37 0.7992 0.4188 0.8196
N38 0.7992 0.8804 0.9796
N39 0.8196 0.5204 0.4008
N40 0.8196 0.7992 0.4188
N41 0.8804 0.4008 0.0812
N42 0.8804 0.9796 0.7992
N43 0.9008 0.0204 0.3196
N44 0.9008 0.3804 0.5812
N45 0.9188 0.1196 0.5992
N46 0.9188 0.2992 0.3196
N47 0.9796 0.6804 0.0992
N48 0.9796 0.7992 0.8804
# Crystal system: cubic
# Total magnetic moment, μB/cell: 37.041
# Space group: Ia-3d (230)
# Uncorrected energy, eV/atom: -10.409

(4)
# NpReN2 PBE relaxed
data_NpReN2
_chemical_formula_sum 'Np1 Re1 N2'
_space_group_name_H-M_alt 'P 1'
_space_group_IT_number 1
_cell_length_a 5.0643
_cell_length_b 5.0643
_cell_length_c 5.0643
_cell_angle_alpha 39.35
_cell_angle_beta 39.35
_cell_angle_gamma 39.35
loop_
_space_group_symop_operation_xyz
'x,y,z'
loop_
_atom_site_label
_atom_site_fract_x
_atom_site_fract_y
_atom_site_fract_z
Np1 0.0000 0.0000 0.0000
Re1 0.5000 0.5000 0.5000
N1 0.2380 0.2380 0.2380
N2 0.7620 0.7620 0.7620
# Crystal system: trigonal
# Total magnetic moment, μB/cell: 2.003
# Space group: R-3m (166)
# Uncorrected energy, eV/atom: -11.021

(5)
# NpReN3 PBE relaxed
data_NpReN3
_chemical_formula_sum 'Np2 Re2 N6'
_space_group_name_H-M_alt 'P 1'
_space_group_IT_number 1
_cell_length_a 6.1324
_cell_length_b 6.1324
_cell_length_c 7.2166
_cell_angle_alpha 90.00
_cell_angle_beta 90.00
_cell_angle_gamma 151.04
loop_
_space_group_symop_operation_xyz
'x,y,z'
loop_
_atom_site_label
_atom_site_fract_x
_atom_site_fract_y
_atom_site_fract_z
Np1 0.2073 0.7927 0.7500
Np2 0.7927 0.2073 0.2500
Re1 0.0532 0.9468 0.2500
Re2 0.9468 0.0532 0.7500
N1 0.1551 0.8449 0.0621
N2 0.1551 0.8449 0.4379
N3 0.4403 0.5597 0.2500
N4 0.5597 0.4403 0.7500
N5 0.8449 0.1551 0.5621
N6 0.8449 0.1551 0.9379
# Crystal system: orthorhombic
# Total magnetic moment, μB/cell: 6.356
# Space group: Cmcm (63)
# Uncorrected energy, eV/atom: -10.393

(6)
# NpRe2N6 PBE relaxed
data_NpRe2N6
_chemical_formula_sum 'Np1 Re2 N6'
_space_group_name_H-M_alt 'P 1'
_space_group_IT_number 1
_cell_length_a 5.3575
_cell_length_b 5.3575
_cell_length_c 7.0328
_cell_angle_alpha 115.34
_cell_angle_beta 115.34
_cell_angle_gamma 41.03
loop_
_space_group_symop_operation_xyz
'x,y,z'
loop_
_atom_site_label
_atom_site_fract_x
_atom_site_fract_y
_atom_site_fract_z
Np1 0.0000 0.0000 0.0000
Re1 0.1904 0.1904 0.6440
Re2 0.8096 0.8096 0.3560
N1 0.0360 0.0360 0.7093
N2 0.2870 0.2870 0.4178
N3 0.3567 0.3567 0.9070
N4 0.6433 0.6433 0.0930
N5 0.7130 0.7130 0.5822
N6 0.9640 0.9640 0.2907
# Crystal system: monoclinic
# Total magnetic moment, μB/cell: 2.844
# Space group: C2/m (12)
# Uncorrected energy, eV/atom: -9.835

(7)
# Np6ReN12 PBE relaxed
data_Np6ReN12
_chemical_formula_sum 'Np6 Re1 N12'
_space_group_name_H-M_alt 'P 1'
_space_group_IT_number 1
_cell_length_a 6.3768
_cell_length_b 6.3768
_cell_length_c 6.3768
_cell_angle_alpha 98.68
_cell_angle_beta 98.68
_cell_angle_gamma 98.68
loop_
_space_group_symop_operation_xyz
'x,y,z'
loop_
_atom_site_label
_atom_site_fract_x
_atom_site_fract_y
_atom_site_fract_z
Np1 0.1022 0.6341 0.7905
Np2 0.2095 0.8978 0.3659
Np3 0.3659 0.2095 0.8978
Np4 0.6341 0.7905 0.1022
Np5 0.7905 0.1022 0.6341
Np6 0.8978 0.3659 0.2095
Re1 0.5000 0.5000 0.5000
N1 0.0661 0.3260 0.9036
N2 0.0964 0.9339 0.6740
N3 0.1900 0.5491 0.4306
N4 0.3260 0.9036 0.0661
N5 0.4306 0.1900 0.5491
N6 0.4509 0.5694 0.8100
N7 0.5491 0.4306 0.1900
N8 0.5694 0.8100 0.4509
N9 0.6740 0.0964 0.9339
N10 0.8100 0.4509 0.5694
N11 0.9036 0.0661 0.3260
N12 0.9339 0.6740 0.0964
# Crystal system: trigonal
# Total magnetic moment, μB/cell: 13.009
# Space group: R-3 (148)
# Uncorrected energy, eV/atom: -10.894

(8)
# Np2ReN PBE relaxed
data_Np2ReN
_chemical_formula_sum 'Np2 Re1 N1'
_space_group_name_H-M_alt 'P 1'
_space_group_IT_number 1
_cell_length_a 3.1171
_cell_length_b 3.1171
_cell_length_c 6.6380
_cell_angle_alpha 90.00
_cell_angle_beta 90.00
_cell_angle_gamma 90.00
loop_
_space_group_symop_operation_xyz
'x,y,z'
loop_
_atom_site_label
_atom_site_fract_x
_atom_site_fract_y
_atom_site_fract_z
Np1 0.0000 0.0000 0.2101
Np2 0.0000 0.0000 0.7899
Re1 0.5000 0.5000 0.5000
N1 0.5000 0.5000 0.0000
# Crystal system: tetragonal
# Total magnetic moment, μB/cell: 5.893
# Space group: P4/mmm (123)
# Uncorrected energy, eV/atom: -11.621

(9)
# Sr2NpReN5 PBE relaxed
data_Sr2NpReN5
_chemical_formula_sum 'Sr4 Np2 Re2 N10'
_space_group_name_H-M_alt 'P 1'
_space_group_IT_number 1
_cell_length_a 7.0667
_cell_length_b 7.0667
_cell_length_c 11.3134
_cell_angle_alpha 90.00
_cell_angle_beta 90.00
_cell_angle_gamma 151.17
loop_
_space_group_symop_operation_xyz
'x,y,z'
loop_
_atom_site_label
_atom_site_fract_x
_atom_site_fract_y
_atom_site_fract_z
Sr1 0.1036 0.8964 0.5000
Sr2 0.1471 0.8529 0.1297
Sr3 0.8529 0.1471 0.6297
Sr4 0.8964 0.1036 0.0000
Np1 0.2091 0.7909 0.8397
Np2 0.7909 0.2091 0.3397
Re1 0.4796 0.5204 0.2741
Re2 0.5204 0.4796 0.7741
N1 0.0389 0.9611 0.8484
N2 0.2853 0.7147 0.4579
N3 0.3175 0.6825 0.2287
N4 0.3694 0.6306 0.8194
N5 0.4949 0.5051 0.6196
N6 0.5051 0.4949 0.1196
N7 0.6306 0.3694 0.3194
N8 0.6825 0.3175 0.7287
N9 0.7147 0.2853 0.9579
N10 0.9611 0.0389 0.3484
# Crystal system: orthorhombic
# Total magnetic moment, μB/cell: 2.337
# Space group: Cmc2_1 (36)
# Uncorrected energy, eV/atom: -8.580